Entry 1:
Here is a relaxed SrZn8Pt2 crystal from Alexandria. Energies are from PBE-GGA.

- DOS(E_F): 4.53 states/eV/cell
- DFT total energy: -25.03 eV per cell
- Total moment: 0.00 μB/cell
- E_form: -104 kJ/mol of formula units

a = 6.5265 Å, b = 6.5265 Å, c = 5.1593 Å
α = 90.00°, β = 90.00°, γ = 90.00°
Fractional coordinates of all 11 atoms:
Zn  0.7999  0.2001  0.7522
Zn  0.7999  0.7999  0.7522
Zn  0.2001  0.7999  0.7522
Zn  0.7999  0.7999  0.2478
Zn  0.2001  0.7999  0.2478
Zn  0.2001  0.2001  0.2478
Zn  0.7999  0.2001  0.2478
Zn  0.2001  0.2001  0.7522
Pt  0.0000  0.5000  0.0000
Pt  0.5000  0.0000  0.0000
Sr  0.5000  0.5000  0.5000

Entry 2:
Here is a relaxed SrZnPt2 crystal from Alexandria. Energies are from PBE-GGA.

- DOS(E_F): 1.79 states/eV/cell
- DFT total energy: -16.59 eV per cell
- Total moment: 0.00 μB/cell
- E_form: -149 kJ/mol of formula units

a = 4.3645 Å, b = 4.3645 Å, c = 4.0266 Å
α = 90.00°, β = 90.00°, γ = 90.00°
Fractional coordinates of all 4 atoms:
Pt  0.5000  0.5000  0.0000
Pt  0.0000  0.0000  0.0000
Zn  0.0000  0.5000  0.5000
Sr  0.5000  0.0000  0.5000

Entry 3:
Here is a relaxed Sr3Zn2Pt3 crystal from Alexandria. Energies are from PBE-GGA.

- DOS(E_F): 5.29 states/eV/cell
- DFT total energy: -63.24 eV per cell
- Total moment: 0.00 μB/cell
- E_form: -570 kJ/mol of formula units

a = 4.4542 Å, b = 6.1064 Å, c = 14.9654 Å
α = 90.00°, β = 90.00°, γ = 111.39°
Fractional coordinates of all 16 atoms:
Sr  0.3677  0.7355  0.7500
Sr  0.9169  0.8338  0.1098
Sr  0.9169  0.8338  0.3902
Sr  0.0831  0.1662  0.8902
Sr  0.0831  0.1662  0.6098
Sr  0.6323  0.2645  0.2500
Pt  0.3231  0.6461  0.2500
Pt  0.3883  0.7766  0.9604
Pt  0.6117  0.2234  0.0396
Pt  0.6769  0.3539  0.7500
Pt  0.3883  0.7766  0.5396
Pt  0.6117  0.2234  0.4604
Zn  0.2156  0.4312  0.4132
Zn  0.7844  0.5688  0.5868
Zn  0.2156  0.4312  0.0868
Zn  0.7844  0.5688  0.9132

Entry 4:
Here is a relaxed SrZn3Pt crystal from Alexandria. Energies are from PBE-GGA.

- DOS(E_F): 1.45 states/eV/cell
- DFT total energy: -13.94 eV per cell
- Distance to the lowest polymorph of the same formula: 0.0 meV per atom
- Total moment: 0.00 μB/cell
- E_form: -231 kJ/mol of formula units

a = 4.3248 Å, b = 4.3247 Å, c = 6.3016 Å
α = 69.85°, β = 69.86°, γ = 89.57°
Fractional coordinates of all 5 atoms:
Zn  0.6477  0.9526  0.4089
Zn  0.7870  0.5901  0.1309
Zn  0.1488  0.4514  0.4089
Sr  0.4069  0.2104  0.8913
Pt  0.0173  0.8208  0.6711

Entry 5:
Here is a relaxed SrZn3Pt crystal from Alexandria. Energies are from PBE-GGA.

- DOS(E_F): 4.22 states/eV/cell
- DFT total energy: -27.82 eV per cell
- Distance to the lowest polymorph of the same formula: 5.5 meV per atom
- Total moment: 0.00 μB/cell
- E_form: -228 kJ/mol of formula units

a = 6.1377 Å, b = 6.1660 Å, c = 6.1378 Å
α = 90.00°, β = 62.87°, γ = 90.00°
Fractional coordinates of all 10 atoms:
Pt  0.6439  0.2500  0.1437
Pt  0.3561  0.7500  0.8563
Sr  0.2379  0.2500  0.7379
Sr  0.7621  0.7500  0.2621
Zn  0.8856  0.2500  0.3857
Zn  0.7235  0.9999  0.7765
Zn  0.2765  0.4999  0.2235
Zn  0.2765  0.0001  0.2235
Zn  0.7235  0.5001  0.7765
Zn  0.1144  0.7500  0.6143

Entry 6:
Here is a relaxed Sr2Zn7Pt crystal from Alexandria. Energies are from PBE-GGA.

- DOS(E_F): 4.34 states/eV/cell
- DFT total energy: -21.52 eV per cell
- Total moment: 0.00 μB/cell
- E_form: -308 kJ/mol of formula units

a = 4.2121 Å, b = 4.2121 Å, c = 11.4928 Å
α = 90.00°, β = 90.00°, γ = 90.00°
Fractional coordinates of all 10 atoms:
Sr  0.0000  0.5000  0.2465
Sr  0.5000  0.0000  0.7535
Zn  0.0000  0.0000  0.0000
Zn  0.0000  0.0000  0.5000
Zn  0.0000  0.5000  0.6382
Zn  0.5000  0.0000  0.3618
Zn  0.5000  0.5000  0.5000
Zn  0.0000  0.5000  0.8668
Zn  0.5000  0.0000  0.1332
Pt  0.5000  0.5000  0.0000

Entry 7:
Here is a relaxed SrZnPt2 crystal from Alexandria. Energies are from PBE-GGA.

- DOS(E_F): 3.04 states/eV/cell
- DFT total energy: -16.02 eV per cell
- Total moment: 0.00 μB/cell
- E_form: -95 kJ/mol of formula units

a = 4.8110 Å, b = 4.8110 Å, c = 4.8110 Å
α = 60.00°, β = 60.00°, γ = 60.00°
Fractional coordinates of all 4 atoms:
Zn  0.7500  0.7500  0.7500
Pt  0.0000  0.0000  0.0000
Pt  0.2500  0.2500  0.2500
Sr  0.5000  0.5000  0.5000

Entry 8:
Here is a relaxed Sr2Zn5Pt crystal from Alexandria. Energies are from PBE-GGA.

- DOS(E_F): 8.43 states/eV/cell
- DFT total energy: -37.45 eV per cell
- Total moment: 0.00 μB/cell
- E_form: -285 kJ/mol of formula units

a = 4.5270 Å, b = 8.5936 Å, c = 9.2530 Å
α = 90.00°, β = 90.00°, γ = 105.27°
Fractional coordinates of all 16 atoms:
Zn  0.1877  0.3754  0.6118
Zn  0.3474  0.6948  0.9830
Zn  0.6526  0.3052  0.0170
Zn  0.4058  0.8115  0.2500
Zn  0.3474  0.6948  0.5170
Zn  0.6526  0.3052  0.4830
Zn  0.5942  0.1885  0.7500
Zn  0.8123  0.6246  0.3882
Zn  0.1877  0.3754  0.8882
Zn  0.8123  0.6246  0.1118
Sr  0.1959  0.3917  0.2500
Sr  0.0000  0.0000  0.5000
Sr  0.0000  0.0000  0.0000
Sr  0.8041  0.6083  0.7500
Pt  0.4377  0.8754  0.7500
Pt  0.5623  0.1246  0.2500

Entry 9:
Here is a relaxed SrZnPt2 crystal from Alexandria. Energies are from PBE-GGA.

- DOS(E_F): 1.47 states/eV/cell
- DFT total energy: -16.51 eV per cell
- Total moment: 0.00 μB/cell
- E_form: -143 kJ/mol of formula units

a = 5.0595 Å, b = 5.0595 Å, c = 5.0595 Å
α = 128.33°, β = 128.33°, γ = 76.09°
Fractional coordinates of all 4 atoms:
Pt  0.5000  0.5000  0.0000
Pt  0.0000  0.0000  0.0000
Zn  0.7500  0.2500  0.5000
Sr  0.2500  0.7500  0.5000

Entry 10:
Here is a relaxed SrZnPt crystal from Alexandria. Energies are from PBE-GGA.

- DOS(E_F): 5.26 states/eV/cell
- DFT total energy: -43.74 eV per cell
- Total moment: 0.00 μB/cell
- E_form: -187 kJ/mol of formula units

a = 6.7592 Å, b = 6.7592 Å, c = 6.7592 Å
α = 90.00°, β = 90.00°, γ = 90.00°
Fractional coordinates of all 12 atoms:
Pt  0.4381  0.4381  0.4381
Pt  0.9381  0.0619  0.5619
Pt  0.5619  0.9381  0.0619
Pt  0.0619  0.5619  0.9381
Zn  0.1637  0.3363  0.6637
Zn  0.3363  0.6637  0.1637
Zn  0.8363  0.8363  0.8363
Zn  0.6637  0.1637  0.3363
Sr  0.3346  0.8346  0.6654
Sr  0.1654  0.1654  0.1654
Sr  0.8346  0.6654  0.3346
Sr  0.6654  0.3346  0.8346

Entry 11:
Here is a relaxed Sr2Zn2Pt crystal from Alexandria. Energies are from PBE-GGA.

- DOS(E_F): 5.57 states/eV/cell
- DFT total energy: -29.12 eV per cell
- Distance to the lowest polymorph of the same formula: 3.9 meV per atom
- Total moment: 0.00 μB/cell
- E_form: -252 kJ/mol of formula units

a = 4.3453 Å, b = 6.1970 Å, c = 10.9683 Å
α = 83.66°, β = 78.57°, γ = 69.48°
Fractional coordinates of all 10 atoms:
Zn  0.6158  0.8885  0.8800
Zn  0.0399  0.3328  0.5874
Zn  0.3842  0.1115  0.1200
Zn  0.9601  0.6672  0.4126
Pt  0.4275  0.8314  0.3136
Pt  0.5725  0.1686  0.6864
Sr  0.2978  0.7668  0.6375
Sr  0.9071  0.3011  0.8848
Sr  0.7022  0.2332  0.3625
Sr  0.0929  0.6989  0.1152

Entry 12:
Here is a relaxed Sr2Zn3Pt2 crystal from Alexandria. Energies are from PBE-GGA.

- DOS(E_F): 3.12 states/eV/cell
- DFT total energy: -23.68 eV per cell
- Total moment: 0.00 μB/cell
- E_form: -426 kJ/mol of formula units

a = 4.1810 Å, b = 5.8962 Å, c = 7.5402 Å
α = 114.68°, β = 90.00°, γ = 110.77°
Fractional coordinates of all 7 atoms:
Sr  0.8619  0.7239  0.2326
Sr  0.1381  0.2761  0.7674
Zn  0.3418  0.6837  0.5648
Zn  0.5000  0.0000  0.0000
Zn  0.6582  0.3163  0.4352
Pt  0.8672  0.7343  0.7962
Pt  0.1328  0.2657  0.2038